(1)
# MoPbBr, PBEsol geometry, DFT SCAN
# * total moment: 0.321 μB/atom
# * ΔE_f (raw): 0.501 eV/atom
# * DOS at the Fermi energy: 0.59 states/eV/atom
data_MoPbBr
_chemical_formula_sum 'Mo4 Pb4 Br4'
_symmetry_space_group_name_H-M 'F m m 2'
_symmetry_Int_Tables_number 42
_symmetry_space_group_name_Hall 'F 2 -2'
_cell_length_a 3.191
_cell_length_b 5.532
_cell_length_c 15.579
_cell_angle_alpha 90.00
_cell_angle_beta 90.00
_cell_angle_gamma 90.00
loop_
_atom_site_label
_atom_site_type_symbol
_atom_site_fract_x
_atom_site_fract_y
_atom_site_fract_z
Mo1 Mo 0.000 0.000 0.000
Pb1 Pb 0.000 0.000 0.340
Br1 Br 0.000 0.000 0.624

(2)
# MoPbBr2, PBEsol geometry, DFT SCAN
# * total moment: 0.000 μB/atom
# * ΔE_f (raw): 0.306 eV/atom
# * DOS at the Fermi energy: 0.55 states/eV/atom
data_MoPbBr2
_chemical_formula_sum 'Mo1 Pb1 Br2'
_symmetry_space_group_name_H-M 'P 4 m m'
_symmetry_Int_Tables_number 99
_cell_length_a 3.297
_cell_length_b 3.297
_cell_length_c 8.261
_cell_angle_alpha 90.00
_cell_angle_beta 90.00
_cell_angle_gamma 90.00
loop_
_symmetry_equiv_pos_as_xyz
'x,y,z'
'-y,x,z'
'-x,-y,z'
'y,-x,z'
'-x,y,z'
'y,x,z'
'x,-y,z'
'-y,-x,z'
loop_
_atom_site_label
_atom_site_type_symbol
_atom_site_fract_x
_atom_site_fract_y
_atom_site_fract_z
Mo1 Mo 0.000 0.000 0.000
Pb1 Pb 0.500 0.500 0.262
Br1 Br 0.000 0.000 0.514
Br2 Br 0.500 0.500 0.857

(3)
# MoPbBr2, PBEsol geometry, DFT SCAN
# * total moment: 1.084 μB/atom
# * ΔE_f (raw): 0.544 eV/atom
# * DOS at the Fermi energy: 0.57 states/eV/atom
data_MoPbBr2
_chemical_formula_sum 'Mo2 Pb2 Br4'
_symmetry_space_group_name_H-M 'I 4/m m m'
_symmetry_Int_Tables_number 139
_symmetry_space_group_name_Hall '-I 4 2'
_cell_length_a 5.107
_cell_length_b 5.107
_cell_length_c 7.272
_cell_angle_alpha 90.00
_cell_angle_beta 90.00
_cell_angle_gamma 90.00
loop_
_atom_site_label
_atom_site_type_symbol
_atom_site_fract_x
_atom_site_fract_y
_atom_site_fract_z
Mo1 Mo 0.000 0.000 0.000
Pb1 Pb 0.000 0.000 0.500
Br1 Br 0.000 0.500 0.250

(4)
# MoPdRhBr2, PBEsol geometry, DFT SCAN
# * total moment: 0.530 μB/atom
# * ΔE_f (raw): 1.136 eV/atom
# * DOS at the Fermi energy: 1.23 states/eV/atom
data_MoPdRhBr2
_chemical_formula_sum 'Mo1 Pd1 Rh1 Br2'
_symmetry_space_group_name_H-M 'P 4/m m m'
_symmetry_Int_Tables_number 123
_symmetry_space_group_name_Hall '-P 4 2'
_cell_length_a 4.787
_cell_length_b 4.787
_cell_length_c 4.848
_cell_angle_alpha 90.00
_cell_angle_beta 90.00
_cell_angle_gamma 90.00
loop_
_atom_site_label
_atom_site_type_symbol
_atom_site_fract_x
_atom_site_fract_y
_atom_site_fract_z
Mo1 Mo 0.000 0.000 0.000
Pd1 Pd 0.000 0.000 0.500
Rh1 Rh 0.500 0.500 0.500
Br1 Br 0.000 0.500 0.000

(5)
# Mo2PtBr, PBEsol geometry, DFT SCAN
# * total moment: 0.000 μB/atom
# * ΔE_f (raw): 0.831 eV/atom
# * DOS at the Fermi energy: 0.86 states/eV/atom
data_Mo2PtBr
_chemical_formula_sum 'Mo4 Pt2 Br2'
_symmetry_space_group_name_H-M 'I m m m'
_symmetry_Int_Tables_number 71
_symmetry_space_group_name_Hall '-I 2 2'
_cell_length_a 3.071
_cell_length_b 4.469
_cell_length_c 9.193
_cell_angle_alpha 90.00
_cell_angle_beta 90.00
_cell_angle_gamma 90.00
loop_
_atom_site_label
_atom_site_type_symbol
_atom_site_fract_x
_atom_site_fract_y
_atom_site_fract_z
Mo1 Mo 0.000 0.000 0.232
Pt1 Pt 0.000 0.500 0.000
Br1 Br 0.000 0.500 0.500

(6)
# MoPtBr2, PBEsol geometry, DFT SCAN
# * total moment: 0.503 μB/atom
# * ΔE_f (raw): 0.819 eV/atom
# * DOS at the Fermi energy: 0.07 states/eV/atom
data_MoPtBr2
_chemical_formula_sum 'Mo4 Pt4 Br8'
_symmetry_space_group_name_H-M 'F -4 3 m'
_symmetry_Int_Tables_number 216
_symmetry_space_group_name_Hall 'F -4 2 3'
_cell_length_a 6.650
_cell_length_b 6.650
_cell_length_c 6.650
_cell_angle_alpha 90.00
_cell_angle_beta 90.00
_cell_angle_gamma 90.00
loop_
_atom_site_label
_atom_site_type_symbol
_atom_site_fract_x
_atom_site_fract_y
_atom_site_fract_z
Mo1 Mo 0.000 0.000 0.000
Pt1 Pt 0.250 0.250 0.750
Br1 Br 0.000 0.000 0.500
Br2 Br 0.250 0.250 0.250

(7)
# MoPtSe2Br, PBEsol geometry, DFT SCAN
# * total moment: 0.000 μB/atom
# * ΔE_f (raw): 0.847 eV/atom
# * DOS at the Fermi energy: 1.00 states/eV/atom
data_MoPtSe2Br
_chemical_formula_sum 'Mo1 Pt1 Se2 Br1'
_symmetry_space_group_name_H-M 'P 4/m m m'
_symmetry_Int_Tables_number 123
_symmetry_space_group_name_Hall '-P 4 2'
_cell_length_a 4.806
_cell_length_b 4.806
_cell_length_c 4.871
_cell_angle_alpha 90.00
_cell_angle_beta 90.00
_cell_angle_gamma 90.00
loop_
_atom_site_label
_atom_site_type_symbol
_atom_site_fract_x
_atom_site_fract_y
_atom_site_fract_z
Mo1 Mo 0.000 0.000 0.000
Pt1 Pt 0.500 0.500 0.500
Se1 Se 0.000 0.500 0.000
Br1 Br 0.000 0.000 0.500

(8)
# Rb3MoBr, PBEsol geometry, DFT SCAN
# * total moment: 1.200 μB/atom
# * ΔE_f (raw): 0.488 eV/atom
# * DOS at the Fermi energy: 0.45 states/eV/atom
data_Rb3MoBr
_chemical_formula_sum 'Rb3 Mo1 Br1'
_symmetry_space_group_name_H-M 'P m -3 m'
_symmetry_Int_Tables_number 221
_symmetry_space_group_name_Hall '-P 4 2 3'
_cell_length_a 6.945
_cell_length_b 6.945
_cell_length_c 6.945
_cell_angle_alpha 90.00
_cell_angle_beta 90.00
_cell_angle_gamma 90.00
loop_
_atom_site_label
_atom_site_type_symbol
_atom_site_fract_x
_atom_site_fract_y
_atom_site_fract_z
Rb1 Rb 0.000 0.000 0.500
Mo1 Mo 0.000 0.000 0.000
Br1 Br 0.500 0.500 0.500

(9)
# RbMo3Br7, PBEsol geometry, DFT SCAN
# * total moment: 0.000 μB/atom
# * ΔE_f (raw): -0.970 eV/atom
# * DOS at the Fermi energy: 0.00 states/eV/atom
data_RbMo3Br7
_chemical_formula_sum 'Rb8 Mo24 Br56'
_symmetry_space_group_name_H-M 'C 1 c 1'
_symmetry_Int_Tables_number 9
_cell_length_a 20.295
_cell_length_b 15.507
_cell_length_c 9.677
_cell_angle_alpha 90.00
_cell_angle_beta 115.16
_cell_angle_gamma 90.00
loop_
_symmetry_equiv_pos_as_xyz
'x,y,z'
'x,-y,z+1/2'
'x+1/2,y+1/2,z'
'x+1/2,-y+1/2,z+1/2'
loop_
_atom_site_label
_atom_site_type_symbol
_atom_site_fract_x
_atom_site_fract_y
_atom_site_fract_z
Rb1 Rb 0.000 0.049 0.000
Rb2 Rb 0.002 0.432 0.761
Mo1 Mo 0.178 0.311 0.358
Mo2 Mo 0.196 0.152 0.455
Mo3 Mo 0.211 0.278 0.647
Mo4 Mo 0.293 0.224 0.379
Mo5 Mo 0.307 0.350 0.569
Mo6 Mo 0.325 0.190 0.666
Br1 Br 0.072 0.395 0.144
Br2 Br 0.084 0.239 0.438
Br3 Br 0.118 0.011 0.367
Br4 Br 0.155 0.316 0.834
Br5 Br 0.166 0.187 0.170
Br6 Br 0.192 0.435 0.547
Br7 Br 0.229 0.120 0.739
Br8 Br 0.273 0.382 0.284
Br9 Br 0.310 0.067 0.475
Br10 Br 0.339 0.315 0.853
Br11 Br 0.351 0.190 0.195
Br12 Br 0.383 0.492 0.646
Br13 Br 0.420 0.262 0.590
Br14 Br 0.428 0.103 0.879

(10)
# RbMoSe2Br, PBEsol geometry, DFT SCAN
# * total moment: 0.001 μB/atom
# * ΔE_f (raw): -0.629 eV/atom
# * DOS at the Fermi energy: 0.46 states/eV/atom
data_RbMoSe2Br
_chemical_formula_sum 'Rb1 Mo1 Se2 Br1'
_symmetry_space_group_name_H-M 'P 4/m m m'
_symmetry_Int_Tables_number 123
_symmetry_space_group_name_Hall '-P 4 2'
_cell_length_a 4.859
_cell_length_b 4.859
_cell_length_c 5.562
_cell_angle_alpha 90.00
_cell_angle_beta 90.00
_cell_angle_gamma 90.00
loop_
_atom_site_label
_atom_site_type_symbol
_atom_site_fract_x
_atom_site_fract_y
_atom_site_fract_z
Rb1 Rb 0.000 0.000 0.000
Mo1 Mo 0.500 0.500 0.500
Se1 Se 0.000 0.500 0.500
Br1 Br 0.500 0.500 0.000

(11)
# Re2MoBr, PBEsol geometry, DFT SCAN
# * total moment: 0.000 μB/atom
# * ΔE_f (raw): 0.771 eV/atom
# * DOS at the Fermi energy: 0.76 states/eV/atom
data_Re2MoBr
_chemical_formula_sum 'Re6 Mo3 Br3'
_symmetry_space_group_name_H-M 'R -3 m'
_symmetry_Int_Tables_number 166
_symmetry_space_group_name_Hall '-R 3 2"'
_cell_length_a 2.8971
_cell_length_b 2.8971
_cell_length_c 25.8759
_cell_angle_alpha 90.00
_cell_angle_beta 90.00
_cell_angle_gamma 120.00
loop_
_atom_site_label
_atom_site_type_symbol
_atom_site_fract_x
_atom_site_fract_y
_atom_site_fract_z
Re1 Re 0.0000 0.0000 0.2480
Mo1 Mo 0.0000 0.0000 0.5000
Br1 Br 0.0000 0.0000 0.0000

(12)
# ReMoBr, PBEsol geometry, DFT SCAN
# * total moment: 0.000 μB/atom
# * ΔE_f (raw): 1.192 eV/atom
# * DOS at the Fermi energy: 0.82 states/eV/atom
data_ReMoBr
_chemical_formula_sum 'Re2 Mo2 Br2'
_symmetry_space_group_name_H-M 'I m m 2'
_symmetry_Int_Tables_number 44
_cell_length_a 2.943
_cell_length_b 4.097
_cell_length_c 7.839
_cell_angle_alpha 90.00
_cell_angle_beta 90.00
_cell_angle_gamma 90.00
loop_
_symmetry_equiv_pos_as_xyz
'x,y,z'
'-x,-y,z'
'-x,y,z'
'x,-y,z'
'x+1/2,y+1/2,z+1/2'
'-x+1/2,-y+1/2,z+1/2'
'-x+1/2,y+1/2,z+1/2'
'x+1/2,-y+1/2,z+1/2'
loop_
_atom_site_label
_atom_site_type_symbol
_atom_site_fract_x
_atom_site_fract_y
_atom_site_fract_z
Re1 Re 0.000 0.000 0.000
Mo1 Mo 0.000 0.000 0.341
Br1 Br 0.000 0.000 0.673